(w)
The following is a DFT calculation (GGA-PBE) of a relaxed Ce4Sn2C crystal.

Its density of states at the Fermi level is 17.0 states/eV/f.u.

Lattice parameters (Å, degrees): 6.208 17.100 3.430 90.00 90.00 90.00
Space group Cmmm (No. 65)
Unique sites:
Ce: 0.000 0.159 0.000 x4
Ce: 0.226 0.500 0.500 x4
Sn: 0.000 0.329 0.500 x4
C: 0.000 0.000 0.000 x2

---

(x)
The following is a DFT calculation (GGA-PBE) of a relaxed Ce4Sn2C crystal.

Its density of states at the Fermi level is 16.5 states/eV/f.u.

Lattice parameters (Å, degrees): 4.902 4.902 16.295 90.00 90.00 90.00
Space group I4/mmm (No. 139)
Unique sites:
Ce: 0.000 0.000 0.160 x4
Ce: 0.000 0.500 0.000 x4
Sn: 0.000 0.000 0.361 x4
C: 0.000 0.000 0.000 x2

---

(y)
The following is a DFT calculation (GGA-PBE) of a relaxed Ce4Sn2C crystal.

Its density of states at the Fermi level is 15.7 states/eV/f.u.

Lattice parameters (Å, degrees): 5.004 14.922 4.802 90.00 90.00 90.00
Space group Cmmm (No. 65)
Unique sites:
Ce: 0.000 0.000 0.000 x2
Ce: 0.000 0.170 0.500 x4
Ce: 0.000 0.500 0.500 x2
Sn: 0.000 0.345 0.000 x4
C: 0.000 0.000 0.500 x2

---

Stability summary: most stable (y), least stable (w).

---

(w)
The following is a DFT calculation (GGA-PBE) of a relaxed Ce6Sn2C crystal.

Its density of states at the Fermi level is 26.7 states/eV/f.u.

Lattice parameters (Å, degrees): 6.147 9.141 9.689 90.00 117.69 90.00
Space group P2_1/c (No. 14)
Unique sites:
Ce: 0.112 0.121 0.478 x4
Ce: 0.291 0.739 0.961 x4
Ce: 0.335 0.049 0.212 x4
Sn: 0.196 0.087 0.830 x4
C: 0.500 0.000 0.500 x2

---

(x)
The following is a DFT calculation (GGA-PBE) of a relaxed Ce6Sn2C crystal.

Its density of states at the Fermi level is 23.2 states/eV/f.u.

Lattice parameters (Å, degrees): 6.866 6.866 9.728 90.00 90.00 90.00
Space group I4/mmm (No. 139)
Unique sites:
Ce: 0.000 0.000 0.248 x4
Ce: 0.247 0.247 0.000 x8
Sn: 0.000 0.500 0.250 x4
C: 0.000 0.000 0.500 x2

---

Stability summary: most stable (x), least stable (w).

---

(w)
The following is a DFT calculation (GGA-PBE) of a relaxed TbCeC2 crystal.

Its density of states at the Fermi level is 8.0 states/eV/f.u.

Lattice parameters (Å, degrees): 3.6516 3.6516 17.7379 90.00 90.00 120.00
Space group R-3m (No. 166, hexagonal axes)
Unique sites:
Tb: 0.0000 0.0000 0.0000 x3
Ce: 0.0000 0.0000 0.5000 x3
C: 0.0000 0.0000 0.2467 x6

---

(x)
The following is a DFT calculation (GGA-PBE) of a relaxed TbCeC2 crystal.

Its density of states at the Fermi level is 4.3 states/eV/f.u.

Lattice parameters (Å, degrees): 3.6101 3.6101 17.9896 90.00 90.00 120.00
Space group R3m (No. 160, hexagonal axes)
Unique sites:
Tb: 0.0000 0.0000 0.0000 x3
Ce: 0.0000 0.0000 0.8308 x3
C: 0.0000 0.0000 0.2400 x3
C: 0.0000 0.0000 0.4137 x3

---

Stability summary: most stable (w), least stable (x).

---

(w)
The following is a DFT calculation (GGA-PBE) of a relaxed Tb2CeC2 crystal.

Its density of states at the Fermi level is 3.7 states/eV/f.u.

Lattice parameters (Å, degrees): 11.526 5.124 7.271 90.00 108.70 90.00
Space group C2/m (No. 12)
Unique sites:
Tb: 0.002 0.000 0.232 x4
Tb: 0.164 0.500 0.072 x4
Ce: 0.161 0.500 0.590 x4
C: 0.006 0.500 0.732 x4
C: 0.171 0.000 0.099 x4

---

(x)
The following is a DFT calculation (GGA-PBE) of a relaxed Tb2CeC2 crystal.

Its density of states at the Fermi level is 3.8 states/eV/f.u.

Lattice parameters (Å, degrees): 3.6250 3.6250 28.4704 90.00 90.00 120.00
Space group R-3m (No. 166, hexagonal axes)
Unique sites:
Tb: 0.0000 0.0000 0.2328 x6
Ce: 0.0000 0.0000 0.0000 x3
C: 0.0000 0.0000 0.3900 x6

---

Stability summary: most stable (x), least stable (w).

---

(w)
The following is a DFT calculation (GGA-PBE) of a relaxed CeTcC crystal.

Its density of states at the Fermi level is 4.0 states/eV/f.u.

Lattice parameters (Å, degrees): 3.4979 3.4979 9.1822 90.00 90.00 120.00
Space group P6_3mc (No. 186)
Unique sites:
Ce: 0.3333 0.6667 0.0000 x2
Tc: 0.0000 0.0000 0.2553 x2
C: 0.3333 0.6667 0.3026 x2

---

(x)
The following is a DFT calculation (GGA-PBE) of a relaxed CeTcC crystal.

Its density of states at the Fermi level is 3.5 states/eV/f.u.

Lattice parameters (Å, degrees): 2.932 2.932 10.108 90.00 90.00 90.00
Space group I4mm (No. 107)
Unique sites:
Ce: 0.000 0.000 0.000 x2
Tc: 0.000 0.000 0.271 x2
C: 0.000 0.000 0.699 x2

---

(y)
The following is a DFT calculation (GGA-PBE) of a relaxed CeTcC crystal.

Its density of states at the Fermi level is 3.3 states/eV/f.u.

Lattice parameters (Å, degrees): 3.5111 3.5111 4.6270 90.00 90.00 120.00
Space group P3m1 (No. 156)
Unique sites:
Ce: 0.0000 0.0000 0.0000 x1
Tc: 0.6667 0.3333 0.5014 x1
C: 0.3333 0.6667 0.5030 x1

---

Stability summary: most stable (w), least stable (x).

---

(w)
The following is a DFT calculation (GGA-PBE) of a relaxed CeTcC crystal.

Its density of states at the Fermi level is 4.0 states/eV/f.u.

Lattice parameters (Å, degrees): 3.5007 3.5007 13.8046 90.00 90.00 120.00
Space group R3m (No. 160, hexagonal axes)
Unique sites:
Ce: 0.0000 0.0000 0.0000 x3
Tc: 0.0000 0.0000 0.4969 x3
C: 0.0000 0.0000 0.8005 x3

---

(x)
The following is a DFT calculation (GGA-PBE) of a relaxed CeTcC crystal.

Its density of states at the Fermi level is 3.6 states/eV/f.u.

Lattice parameters (Å, degrees): 16.754 3.858 6.955 90.00 91.16 90.00
Space group C2/m (No. 12)
Unique sites:
Ce: 0.095 0.000 0.338 x4
Ce: 0.102 0.500 0.875 x4
Tc: 0.208 0.500 0.571 x4
Tc: 0.239 0.500 0.150 x4
C: 0.180 0.000 0.065 x4
C: 0.182 0.000 0.625 x4

---

Stability summary: most stable (w), least stable (x).

---

(w)
The following is a DFT calculation (GGA-PBE) of a relaxed CeTc3C crystal.

Its density of states at the Fermi level is 3.8 states/eV/f.u.

Lattice parameters (Å, degrees): 6.435 9.045 5.392 90.00 90.00 90.00
Space group Cmcm (No. 63)
Unique sites:
Ce: 0.000 0.057 0.250 x4
Tc: 0.000 0.500 0.000 x4
Tc: 0.204 0.218 0.750 x8
C: 0.000 0.330 0.250 x4

---

(x)
The following is a DFT calculation (GGA-PBE) of a relaxed CeTc3C crystal.

Its density of states at the Fermi level is 9.1 states/eV/f.u.

Lattice parameters (Å, degrees): 4.219 4.219 4.219 90.00 90.00 90.00
Space group Pm-3m (No. 221)
Unique sites:
Ce: 0.000 0.000 0.000 x1
Tc: 0.000 0.500 0.500 x3
C: 0.500 0.500 0.500 x1

---

Stability summary: most stable (x), least stable (w).

---

(w)
The following is a DFT calculation (GGA-PBE) of a relaxed CeTh2C3 crystal.

Its density of states at the Fermi level is 1.5 states/eV/f.u.

Lattice parameters (Å, degrees): 12.584 7.224 5.765 90.00 90.00 90.00
Space group Cmc2_1 (No. 36)
Unique sites:
Ce: 0.000 0.164 0.000 x4
Th: 0.165 0.331 0.502 x8
C: 0.000 0.162 0.422 x4
C: 0.165 0.332 0.940 x8

---

(x)
The following is a DFT calculation (GGA-PBE) of a relaxed CeTh2C3 crystal.

Its density of states at the Fermi level is 3.7 states/eV/f.u.

Lattice parameters (Å, degrees): 3.753 5.292 11.252 90.00 90.00 90.00
Space group Immm (No. 71)
Unique sites:
Ce: 0.000 0.000 0.000 x2
Th: 0.000 0.000 0.334 x4
C: 0.000 0.500 0.000 x2
C: 0.000 0.500 0.336 x4

---

Stability summary: most stable (x), least stable (w).

---

(w)
The following is a DFT calculation (GGA-PBE) of a relaxed CeThC crystal.

Its density of states at the Fermi level is 5.3 states/eV/f.u.

Lattice parameters (Å, degrees): 3.6038 3.6038 6.4013 90.00 90.00 120.00
Space group P3m1 (No. 156)
Unique sites:
Ce: 0.0000 0.0000 0.0000 x1
Th: 0.3333 0.6667 0.4512 x1
C: 0.6667 0.3333 0.2221 x1

---

(x)
The following is a DFT calculation (GGA-PBE) of a relaxed CeThC crystal.

Its density of states at the Fermi level is 4.6 states/eV/f.u.

Lattice parameters (Å, degrees): 3.682 3.692 5.062 90.00 90.00 90.00
Space group Pmmm (No. 47)
Unique sites:
Ce: 0.000 0.000 0.000 x1
Th: 0.500 0.500 0.500 x1
C: 0.500 0.500 0.000 x1

---

Stability summary: most stable (w), least stable (x).

---

(w)
The following is a DFT calculation (GGA-PBE) of a relaxed CeThC crystal.

Its density of states at the Fermi level is 5.3 states/eV/f.u.

Lattice parameters (Å, degrees): 3.574 5.326 7.470 90.00 90.00 90.00
Space group Pmmn (No. 59, origin choice 2)
Unique sites:
Ce: 0.250 0.250 0.149 x2
Th: 0.250 0.250 0.620 x2
C: 0.250 0.750 0.625 x2

---

(x)
The following is a DFT calculation (GGA-PBE) of a relaxed CeThC crystal.

Its density of states at the Fermi level is 5.4 states/eV/f.u.

Lattice parameters (Å, degrees): 3.221 3.221 12.288 90.00 90.00 90.00
Space group I4mm (No. 107)
Unique sites:
Ce: 0.000 0.000 0.000 x2
Th: 0.000 0.000 0.234 x2
C: 0.000 0.000 0.622 x2

---

Stability summary: most stable (w), least stable (x).

---

(w)
The following is a DFT calculation (GGA-PBE) of a relaxed CeThC crystal.

Its density of states at the Fermi level is 4.3 states/eV/f.u.

Lattice parameters (Å, degrees): 6.235 6.235 6.235 90.00 90.00 90.00
Space group F-43m (No. 216)
Unique sites:
Ce: 0.000 0.000 0.000 x4
Th: 0.000 0.000 0.500 x4
C: 0.250 0.250 0.750 x4

---

(x)
The following is a DFT calculation (GGA-PBE) of a relaxed CeThC crystal.

Its density of states at the Fermi level is 5.0 states/eV/f.u.

Lattice parameters (Å, degrees): 6.291 3.586 12.321 90.00 103.94 90.00
Space group C2/m (No. 12)
Unique sites:
Ce: 0.147 0.000 0.112 x4
Th: 0.097 0.500 0.356 x4
C: 0.129 0.000 0.762 x4

---

Stability summary: most stable (x), least stable (w).